This record from Alexandria describes a relaxed PO crystal. The functional is PBE.

Output
As for the space-group type: Pmmn. Its formation energy from raw total energies is -559 meV per atom. The value obtained for the density of states at the Fermi level is 0.7 states/eV/f.u. The calculation puts the offset from the most stable computed form at 11.816 kcal/mol of atoms.

Cell lengths 3.963, 9.401, 5.989 Å; angles 90.00, 90.00, 90.00 degrees
Positions (direct):
P 0.250 0.103 0.190
P 0.250 0.397 0.190
P 0.250 0.750 0.561
P 0.750 0.250 0.439
P 0.750 0.603 0.810
P 0.750 0.897 0.810
O 0.250 0.250 0.031
O 0.250 0.615 0.736
O 0.250 0.885 0.736
O 0.750 0.115 0.264
O 0.750 0.385 0.264
O 0.750 0.750 0.969

***

This record from Alexandria describes a relaxed Cu2TeAs crystal. The functional is PBE.

Output
As for the space-group type: Pm. Its formation energy from raw total energies is 92 meV per atom. The value obtained for the density of states at the Fermi level is 0.6 states/eV/f.u. The calculation puts the offset from the most stable computed form at 0.771 kcal/mol of atoms.

Cell lengths 3.106, 6.930, 7.517 Å; angles 90.00, 90.01, 90.00 degrees
Positions (direct):
Cu 0.000 0.187 0.000
Cu 0.000 0.813 0.000
Cu 0.999 0.312 0.516
Cu 0.999 0.688 0.516
Te 0.995 0.500 0.211
Te 0.998 0.000 0.311
As 0.498 0.318 0.770
As 0.498 0.682 0.770

***

This record from Alexandria describes a relaxed NbHg crystal. The functional is PBE.

Output
As for the space-group type: Fm-3m. The calculation puts the formation energy at 1.8 eV/f.u. The value obtained for the density of states at the Fermi level is 1.5 states/eV/f.u.

Cell lengths 3.970, 3.970, 3.970 Å; angles 60.00, 60.00, 60.00 degrees
Positions (direct):
Nb 0.000 0.000 0.000
Hg 0.500 0.500 0.500

***

This record from Alexandria describes a relaxed LaMg2Cr crystal. The functional is PBE.

Output
As for the space-group type: R-3m. The calculation puts the formation energy at 1.6 eV/f.u. The value obtained for the density of states at the Fermi level is 4.2 states/eV/f.u.

Cell lengths 10.781, 10.781, 10.781 Å; angles 17.55, 17.55, 17.55 degrees
Positions (direct):
La 0.000 0.000 0.000
Mg 0.239 0.239 0.239
Mg 0.761 0.761 0.761
Cr 0.500 0.500 0.500

***

This record from Alexandria describes a relaxed Ba6Sr3Ca2 crystal. The functional is PBE.

Output
As for the space-group type: C2/m. The calculation puts the formation energy at 0.7 eV/f.u. The value obtained for the density of states at the Fermi level is 15.7 states/eV/f.u.

Cell lengths 10.459, 10.459, 14.758 Å; angles 91.01, 91.01, 23.04 degrees
Positions (direct):
Ba 0.050 0.050 0.271
Ba 0.279 0.279 0.624
Ba 0.364 0.364 0.197
Ba 0.636 0.636 0.803
Ba 0.721 0.721 0.376
Ba 0.950 0.950 0.729
Sr 0.000 0.000 0.000
Sr 0.317 0.317 0.912
Sr 0.683 0.683 0.088
Ca 0.090 0.090 0.546
Ca 0.910 0.910 0.454

***

This record from Alexandria describes a relaxed Cs2KNaI4 crystal. The functional is PBE.

Output
As for the space-group type: P2/m. Its formation energy from raw total energies is -1433 meV per atom. The value obtained for the density of states at the Fermi level is 0.0 states/eV/f.u.

Cell lengths 8.939, 5.171, 9.073 Å; angles 90.00, 109.09, 90.00 degrees
Positions (direct):
Cs 0.000 0.000 0.000
Cs 0.500 0.500 0.000
K 0.000 0.500 0.500
Na 0.500 0.000 0.500
I 0.252 0.000 0.716
I 0.272 0.500 0.288
I 0.728 0.500 0.712
I 0.748 0.000 0.284

***

This record from Alexandria describes a relaxed CsV2Ag crystal. The functional is PBE.

Output
As for the space-group type: Fm-3m. The calculation puts the formation energy at 6.4 eV/f.u. The value obtained for the density of states at the Fermi level is 10.4 states/eV/f.u.

Cell lengths 5.144, 5.144, 5.144 Å; angles 60.00, 60.00, 60.00 degrees
Positions (direct):
Cs 0.000 0.000 0.000
V 0.250 0.250 0.250
V 0.750 0.750 0.750
Ag 0.500 0.500 0.500

***

This record from Alexandria describes a relaxed Pm7Tl2Pt2 crystal. The functional is PBE.

Output
As for the space-group type: Cmmm. The calculation puts the formation energy at -5.2 eV/f.u. The value obtained for the density of states at the Fermi level is 11.1 states/eV/f.u. The calculation puts the offset from the most stable computed form at 1.096 kcal/mol of atoms.

Cell lengths 7.087, 7.087, 7.257 Å; angles 90.00, 90.00, 106.78 degrees
Positions (direct):
Pm 0.000 0.000 0.000
Pm 0.000 0.500 0.253
Pm 0.000 0.500 0.747
Pm 0.500 0.000 0.253
Pm 0.500 0.000 0.747
Pm 0.500 0.500 0.245
Pm 0.500 0.500 0.755
Tl 0.176 0.176 0.500
Tl 0.824 0.824 0.500
Pt 0.289 0.711 0.000
Pt 0.711 0.289 0.000